# 1
Crystalline Fe2RuW at its relaxed geometry. Source: the Alexandria database, functional PBEsol.

**Magnetization**: 0.75 μB per formula unit
**SG**: P4/mmm, No. 123
**ΔE to the lowest computed polymorph**: 0.0 meV/atom

Cell lengths 3.6799, 3.6799, 3.6084 Å; angles 90.00, 90.00, 90.00 degrees
Element x y z (fractional)
Fe 0.0000 0.5000 0.0000
Fe 0.5000 0.0000 0.0000
Ru 0.0000 0.0000 0.5000
W 0.5000 0.5000 0.5000



# 2
Crystalline Zn2FeRu at its relaxed geometry. Source: the Alexandria database, functional PBEsol.

**Magnetization**: 3.45 μB per formula unit
**SG**: P4/mmm, No. 123
**ΔE to the lowest computed polymorph**: 0.0 meV/atom

Cell lengths 3.6651, 3.6651, 3.8135 Å; angles 90.00, 90.00, 90.00 degrees
Element x y z (fractional)
Zn 0.0000 0.5000 0.0000
Zn 0.5000 0.0000 0.0000
Fe 0.0000 0.0000 0.5000
Ru 0.5000 0.5000 0.5000



# 3
Crystalline Zn2FeRu at its relaxed geometry. Source: the Alexandria database, functional PBEsol.

**Magnetization**: 3.00 μB per formula unit
**SG**: Fm-3m, No. 225
**ΔE to the lowest computed polymorph**: 63.9 meV/atom

Cell lengths 4.1559, 4.1559, 4.1559 Å; angles 60.00, 60.00, 60.00 degrees
Element x y z (fractional)
Zn 0.2500 0.2500 0.2500
Zn 0.7500 0.7500 0.7500
Fe 0.0000 0.0000 0.0000
Ru 0.5000 0.5000 0.5000



# 4
Crystalline ZnFe2Ru at its relaxed geometry. Source: the Alexandria database, functional PBEsol.

**Magnetization**: 5.55 μB per formula unit
**SG**: P4/mmm, No. 123
**Total energy**: -7.29 eV/atom

Cell lengths 3.6215, 3.6215, 3.7287 Å; angles 90.00, 90.00, 90.00 degrees
Element x y z (fractional)
Zn 0.0000 0.0000 0.0000
Fe 0.0000 0.5000 0.5000
Fe 0.5000 0.0000 0.5000
Ru 0.5000 0.5000 0.0000



> The highest magnetization belongs to which entry?

ZnFe2Ru



> Which formula does entry 3 have?

Zn2FeRu